A plane-wave DFT calculation with PBE was carried out for La3TbDy12 after structural relaxation.

POSCAR file:
```
La3TbDy12
1.0
5.0688 0.0000 0.0000
0.0000 5.0688 0.0000
0.0000 0.0000 20.2842
La Tb Dy
3 1 12
direct
0.0000 0.0000 0.0000
0.0000 0.0000 0.2504
0.0000 0.0000 0.7496
0.0000 0.0000 0.5000
0.0000 0.5000 0.1258
0.0000 0.5000 0.3778
0.0000 0.5000 0.6222
0.0000 0.5000 0.8742
0.5000 0.0000 0.1258
0.5000 0.0000 0.3778
0.5000 0.0000 0.6222
0.5000 0.0000 0.8742
0.5000 0.5000 0.0000
0.5000 0.5000 0.2522
0.5000 0.5000 0.5000
0.5000 0.5000 0.7478
```

Computed properties:
- Energy of formation: 0.0282 eV per atom
- DOS at the Fermi energy: 24.47 states/eV/cell
- Size of the total moment: 0.0 Bohr magnetons per cell
- Calculated volume: 32.57 A^3/atom

A plane-wave DFT calculation with PBE was carried out for Sm2Sb4Pb after structural relaxation.

POSCAR file:
```
Sm2Sb4Pb
1.0
4.3345 0.0000 0.0000
0.0000 4.3345 0.0000
0.0000 0.0000 11.6502
Sm Sb Pb
2 4 1
direct
0.0000 0.5000 0.2126
0.5000 0.0000 0.7874
0.0000 0.0000 0.0000
0.0000 0.5000 0.6969
0.5000 0.0000 0.3031
0.5000 0.5000 0.0000
0.0000 0.0000 0.5000
```

Computed properties:
- DOS at the Fermi energy: 2.80 states/eV/cell
- Size of the total moment: 0.0 Bohr magnetons per cell
- Calculated volume: 31.27 A^3/atom
- Formation energy without anion corrections: -0.639 eV/atom

A plane-wave DFT calculation with PBE was carried out for Mg12ScCd6 after structural relaxation.

POSCAR file:
```
Mg12ScCd6
1.0
5.2860 3.0519 4.4549
-5.2860 3.0519 4.4549
0.0000 -6.1038 4.4549
Mg Sc Cd
12 1 6
direct
0.0235 0.3006 0.9366
0.0634 0.9765 0.6994
0.1280 0.3437 0.4619
0.3006 0.9366 0.0235
0.3437 0.4619 0.1280
0.4619 0.1280 0.3437
0.5381 0.8720 0.6563
0.6563 0.5381 0.8720
0.6994 0.0634 0.9765
0.8720 0.6563 0.5381
0.9366 0.0235 0.3006
0.9765 0.6994 0.0634
0.5000 0.5000 0.5000
0.2259 0.7687 0.3809
0.2313 0.6191 0.7741
0.3809 0.2259 0.7687
0.6191 0.7741 0.2313
0.7687 0.3809 0.2259
0.7741 0.2313 0.6191
```

Computed properties:
- Energy of formation: -0.0566 eV per atom
- DOS at the Fermi energy: 9.38 states/eV/cell
- Size of the total moment: 0.0 Bohr magnetons per cell
- Calculated volume: 22.70 A^3/atom

A plane-wave DFT calculation with PBE was carried out for CuPb2C after structural relaxation.

POSCAR file:
```
CuPb2C
1.0
6.1067 0.0000 0.0000
0.0000 6.1067 0.0000
0.0000 0.0000 10.0292
Cu Pb C
4 8 4
direct
0.0000 0.0000 0.0000
0.0000 0.5000 0.2500
0.5000 0.0000 0.7500
0.5000 0.5000 0.5000
0.2039 0.2500 0.6250
0.2500 0.7039 0.8750
0.2500 0.7961 0.3750
0.2961 0.2500 0.1250
0.7039 0.7500 0.1250
0.7500 0.2039 0.3750
0.7500 0.2961 0.8750
0.7961 0.7500 0.6250
0.0000 0.0000 0.5000
0.0000 0.5000 0.7500
0.5000 0.0000 0.2500
0.5000 0.5000 0.0000
```

Computed properties:
- Energy of formation: 1.0411 eV per atom
- DOS at the Fermi energy: 6.52 states/eV/cell
- Size of the total moment: 0.0 Bohr magnetons per cell
- Calculated volume: 23.38 A^3/atom

A plane-wave DFT calculation with PBE was carried out for SmHo3Pd4 after structural relaxation.

POSCAR file:
```
SmHo3Pd4
1.0
5.0200 0.0000 0.0000
0.0000 5.0200 0.0000
0.0000 0.0000 6.8883
Sm Ho Pd
1 3 4
direct
0.0000 0.0000 0.0000
0.0000 0.0000 0.5000
0.5000 0.5000 0.0000
0.5000 0.5000 0.5000
0.0000 0.5000 0.2562
0.0000 0.5000 0.7438
0.5000 0.0000 0.2562
0.5000 0.0000 0.7438
```

Computed properties:
- Energy of formation: -0.8743 eV per atom
- DOS at the Fermi energy: 3.90 states/eV/cell
- Size of the total moment: 0.0 Bohr magnetons per cell
- Calculated volume: 21.70 A^3/atom

A plane-wave DFT calculation with PBE was carried out for TiBiOs2S after structural relaxation.

POSCAR file:
```
TiBiOs2S
1.0
4.3014 0.0000 0.0000
0.0000 4.3014 0.0000
0.0000 0.0000 5.4646
Ti Bi Os S
1 1 2 1
direct
0.0000 0.0000 0.0000
0.5000 0.5000 0.0000
0.0000 0.5000 0.5000
0.5000 0.0000 0.5000
0.5000 0.5000 0.5000
```

Computed properties:
- DOS at the Fermi energy: 4.75 states/eV/cell
- Size of the total moment: 0.0 Bohr magnetons per cell
- Calculated volume: 20.22 A^3/atom
- Formation energy without anion corrections: 1.046 eV/atom

A plane-wave DFT calculation with PBE was carried out for Fe2PRh after structural relaxation.

POSCAR file:
```
Fe2PRh
1.0
2.7740 0.0000 0.0000
-1.3870 2.4024 0.0000
0.0000 0.0000 22.6526
Fe P Rh
6 3 3
direct
0.0000 0.0000 0.0000
0.0000 0.0000 0.2492
0.3333 0.6667 0.6667
0.3333 0.6667 0.9159
0.6667 0.3333 0.3333
0.6667 0.3333 0.5826
0.0000 0.0000 0.5095
0.3333 0.6667 0.1762
0.6667 0.3333 0.8428
0.0000 0.0000 0.7603
0.3333 0.6667 0.4270
0.6667 0.3333 0.0936
```

Computed properties:
- Energy of formation: -0.0736 eV per atom
- DOS at the Fermi energy: 8.63 states/eV/cell
- Size of the total moment: 13.8 Bohr magnetons per cell
- Calculated volume: 12.58 A^3/atom

A plane-wave DFT calculation with PBE was carried out for Ta2InW after structural relaxation.

POSCAR file:
```
Ta2InW
1.0
3.6570 0.0000 0.0000
0.0000 4.4329 0.0000
0.0000 0.0000 4.4745
Ta In W
2 1 1
direct
0.0000 0.0000 0.0000
0.5000 0.0000 0.5000
0.0000 0.5000 0.5000
0.5000 0.5000 0.0000
```

Computed properties:
- Energy of formation: 0.2442 eV per atom
- DOS at the Fermi energy: 3.31 states/eV/cell
- Size of the total moment: 0.0 Bohr magnetons per cell
- Calculated volume: 18.13 A^3/atom

A plane-wave DFT calculation with PBE was carried out for Te2WNCl after structural relaxation.

POSCAR file:
```
Te2WNCl
1.0
5.3797 0.0000 0.0000
0.0000 5.3797 0.0000
0.0000 0.0000 3.3516
Te W N Cl
2 1 1 1
direct
0.0000 0.5000 0.0000
0.5000 0.0000 0.0000
0.0000 0.0000 0.5000
0.5000 0.5000 0.5000
0.5000 0.5000 0.0000
```

Computed properties:
- Relative energy among the computed polymorphs: 1622 meV/atom
- DOS at the Fermi energy: 4.22 states/eV/cell
- Size of the total moment: 0.9 Bohr magnetons per cell
- Calculated volume: 19.40 A^3/atom
- Formation energy without anion corrections: 1.913 eV/atom

A plane-wave DFT calculation with PBE was carried out for LaPrNd2Tm5 after structural relaxation.

POSCAR file:
```
LaPrNd2Tm5
1.0
-4.3575 4.3575 7.7785
4.3575 -4.3575 7.7785
4.3575 4.3575 -7.7785
La Pr Nd Tm
2 2 4 10
direct
0.2500 0.7500 0.5000
0.7500 0.2500 0.5000
0.2500 0.2500 0.0000
0.7500 0.7500 0.0000
0.1175 0.6175 0.7350
0.3825 0.1175 0.5000
0.6175 0.8825 0.5000
0.8825 0.3825 0.2650
0.0000 0.0000 0.0000
0.0726 0.1557 0.5000
0.1557 0.6557 0.0831
0.3443 0.4274 0.5000
0.4274 0.9274 0.0831
0.5000 0.5000 0.0000
0.5726 0.0726 0.9169
0.6557 0.5726 0.5000
0.8443 0.3443 0.9169
0.9274 0.8443 0.5000
```

Computed properties:
- Energy of formation: 0.2398 eV per atom
- DOS at the Fermi energy: 17.42 states/eV/cell
- Size of the total moment: 0.0 Bohr magnetons per cell
- Calculated volume: 32.82 A^3/atom

A plane-wave DFT calculation with PBE was carried out for K4Hg2Pd after structural relaxation.

POSCAR file:
```
K4Hg2Pd
1.0
6.1715 0.0000 0.0000
0.0000 6.1715 0.0000
0.0000 0.0000 17.1880
K Hg Pd
8 4 2
direct
0.0000 0.0000 0.1845
0.0000 0.0000 0.8155
0.0000 0.5000 0.0000
0.0000 0.5000 0.5000
0.5000 0.0000 0.0000
0.5000 0.0000 0.5000
0.5000 0.5000 0.3155
0.5000 0.5000 0.6845
0.0000 0.0000 0.3934
0.0000 0.0000 0.6066
0.5000 0.5000 0.1066
0.5000 0.5000 0.8934
0.0000 0.0000 0.0000
0.5000 0.5000 0.5000
```

Computed properties:
- Relative energy among the computed polymorphs: 120 meV/atom
- Energy of formation: -0.0229 eV per atom
- DOS at the Fermi energy: 8.00 states/eV/cell
- Size of the total moment: 0.0 Bohr magnetons per cell
- Calculated volume: 46.76 A^3/atom

A plane-wave DFT calculation with PBE was carried out for PmThTeSe2 after structural relaxation.

POSCAR file:
```
PmThTeSe2
1.0
4.7175 0.0000 0.0000
0.0000 4.7175 0.0000
0.0000 0.0000 14.0267
Pm Th Te Se
2 2 2 4
direct
0.0000 0.0000 0.0000
0.5000 0.5000 0.5000
0.0000 0.0000 0.2633
0.5000 0.5000 0.7633
0.0000 0.0000 0.6419
0.5000 0.5000 0.1419
0.0000 0.5000 0.3826
0.0000 0.5000 0.8826
0.5000 0.0000 0.3826
0.5000 0.0000 0.8826
```

Computed properties:
- DOS at the Fermi energy: 2.54 states/eV/cell
- Size of the total moment: 2.0 Bohr magnetons per cell
- Calculated volume: 31.22 A^3/atom
- Formation energy without anion corrections: -1.320 eV/atom